Record 1
# ScInIr2, optimized geometry, DFT PBE
data_ScInIr2
_cell_length_a 4.359
_cell_length_b 4.359
_cell_length_c 3.551
_cell_angle_alpha 90.00
_cell_angle_beta 90.00
_cell_angle_gamma 90.00
_symmetry_space_group_name_H-M 'P 4/m m m'
_symmetry_Int_Tables_number 123
_symmetry_space_group_name_Hall '-P 4 2'
loop_
_atom_site_label
_atom_site_type_symbol
_atom_site_fract_x
_atom_site_fract_y
_atom_site_fract_z
Sc1 Sc 0.000 0.000 0.000
In1 In 0.500 0.500 0.000
Ir1 Ir 0.000 0.500 0.500
# Theoretical density ... 13.39 g cm⁻³
# Energy ... -7.33 eV/atom

Record 2
# ScInIr2, optimized geometry, DFT PBE
data_ScInIr2
_cell_length_a 6.516
_cell_length_b 6.516
_cell_length_c 6.516
_cell_angle_alpha 90.00
_cell_angle_beta 90.00
_cell_angle_gamma 90.00
_symmetry_space_group_name_H-M 'F -4 3 m'
_symmetry_Int_Tables_number 216
_symmetry_space_group_name_Hall 'F -4 2 3'
loop_
_atom_site_label
_atom_site_type_symbol
_atom_site_fract_x
_atom_site_fract_y
_atom_site_fract_z
Sc1 Sc 0.000 0.000 0.000
In1 In 0.250 0.250 0.750
Ir1 Ir 0.000 0.000 0.500
Ir2 Ir 0.250 0.250 0.250
# Theoretical density ... 13.07 g cm⁻³
# Energy ... -6.87 eV/atom

Record 3
# ScInIr2, optimized geometry, DFT PBE
data_ScInIr2
_cell_length_a 4.7100
_cell_length_b 4.7100
_cell_length_c 7.8124
_cell_angle_alpha 90.00
_cell_angle_beta 90.00
_cell_angle_gamma 120.00
_symmetry_space_group_name_H-M 'P 63/m m c'
_symmetry_Int_Tables_number 194
_symmetry_space_group_name_Hall '-P 6c 2c'
loop_
_atom_site_label
_atom_site_type_symbol
_atom_site_fract_x
_atom_site_fract_y
_atom_site_fract_z
Sc1 Sc 0.0000 0.0000 0.2500
In1 In 0.3333 0.6667 0.2500
Ir1 Ir 0.3333 0.6667 0.5897
# Theoretical density ... 12.04 g cm⁻³
# Energy ... -6.59 eV/atom

Record 4
# ScInIr2, optimized geometry, DFT PBE
data_ScInIr2
_cell_length_a 4.5477
_cell_length_b 4.5477
_cell_length_c 8.2217
_cell_angle_alpha 90.00
_cell_angle_beta 90.00
_cell_angle_gamma 120.00
_symmetry_space_group_name_H-M 'P 63/m m c'
_symmetry_Int_Tables_number 194
_symmetry_space_group_name_Hall '-P 6c 2c'
loop_
_atom_site_label
_atom_site_type_symbol
_atom_site_fract_x
_atom_site_fract_y
_atom_site_fract_z
Sc1 Sc 0.0000 0.0000 0.0000
In1 In 0.3333 0.6667 0.2500
Ir1 Ir 0.3333 0.6667 0.5981
# Theoretical density ... 12.27 g cm⁻³
# Energy ... -7.13 eV/atom

Record 5
# ScInIr2, optimized geometry, DFT PBE
data_ScInIr2
_cell_length_a 3.276
_cell_length_b 3.276
_cell_length_c 6.330
_cell_angle_alpha 90.00
_cell_angle_beta 90.00
_cell_angle_gamma 90.00
_symmetry_space_group_name_H-M 'P 4/m m m'
_symmetry_Int_Tables_number 123
_symmetry_space_group_name_Hall '-P 4 2'
loop_
_atom_site_label
_atom_site_type_symbol
_atom_site_fract_x
_atom_site_fract_y
_atom_site_fract_z
Sc1 Sc 0.000 0.000 0.000
In1 In 0.000 0.000 0.500
Ir1 Ir 0.500 0.500 0.245
# Theoretical density ... 13.30 g cm⁻³
# Energy ... -7.28 eV/atom

Record 6
# Sc2TlInIr4, optimized geometry, DFT PBE
data_Sc2TlInIr4
_cell_length_a 4.586
_cell_length_b 4.586
_cell_length_c 6.506
_cell_angle_alpha 90.00
_cell_angle_beta 90.00
_cell_angle_gamma 90.00
_symmetry_space_group_name_H-M 'P 4/m m m'
_symmetry_Int_Tables_number 123
_symmetry_space_group_name_Hall '-P 4 2'
loop_
_atom_site_label
_atom_site_type_symbol
_atom_site_fract_x
_atom_site_fract_y
_atom_site_fract_z
Sc1 Sc 0.000 0.000 0.000
Sc2 Sc 0.500 0.500 0.500
Tl1 Tl 0.000 0.000 0.500
In1 In 0.500 0.500 0.000
Ir1 Ir 0.000 0.500 0.245
# Theoretical density ... 14.30 g cm⁻³
# Energy ... -7.11 eV/atom